Record 1
First-principles (PBE) data for a geometry-optimized Tb2DyPd3 structure, as listed in Alexandria via LeMat-Bulk.

Unit cell a=5.0279 b=15.0861 c=3.4408 alpha=90.00 beta=90.00 gamma=90.00
Closest atoms and distances in Å follow each position.
Space group Pmmn (No. 59, origin choice 2)
Symmetry-distinct sites (fractional):
Tb 0.2500 0.0834 0.9996 (multiplicity 4)  8 Pd 3.05-3.07
Dy 0.2500 0.7500 0.0014 (multiplicity 2)  8 Pd 3.03-3.05
Pd 0.2500 0.2500 0.4993 (multiplicity 2)  4 Dy 3.04-3.05, 4 Tb 3.05
Pd 0.2500 0.5847 0.5009 (multiplicity 4)  2 Dy 3.03, 6 Tb 3.05-3.07

## Properties
DOS(E_F): 0.47 states/eV per atom
E above lowest polymorph: 0.0 meV/atom
E_tot: -5.7832 eV per atom
Energy of formation: -0.88 eV/atom



Record 2
First-principles (PBE) data for a geometry-optimized DyCoSn2 structure, as listed in Alexandria via LeMat-Bulk.

Unit cell a=4.3130 b=18.2832 c=4.4970 alpha=90.00 beta=90.00 gamma=90.00
Closest atoms and distances in Å follow each position.
Space group Cmcm (No. 63)
Symmetry-distinct sites (fractional):
Dy 0.0000 0.1133 0.2500 (multiplicity 4)  10 Sn 3.26-3.64, 4 Co 3.34
Co 0.0000 0.3211 0.2500 (multiplicity 4)  5 Sn 2.41-2.57
Sn 0.0000 0.2528 0.7500 (multiplicity 4)  4 Co 2.54-2.57
Sn 0.0000 0.4530 0.2500 (multiplicity 4)  1 Co 2.41

## Properties
DOS(E_F): 0.71 states/eV per atom
E_tot: -5.3089 eV per atom
Energy of formation: -0.38 eV/atom



Record 3
First-principles (PBE) data for a geometry-optimized Li2Mg7Cd3 structure, as listed in Alexandria via LeMat-Bulk.

Unit cell a=3.0186 b=4.8787 c=18.8992 alpha=90.00 beta=94.04 gamma=90.00
Closest atoms and distances in Å follow each position.
Space group P2/m (No. 10)
Symmetry-distinct sites (fractional):
Li 0.1292 0.0000 0.2809 (multiplicity 2)  5 Mg 2.79-3.13, 2 Li 3.02, 2 Cd 3.12
Mg 0.1064 0.5000 0.1977 (multiplicity 2)  2 Li 2.90, 6 Mg 3.02-3.10, 2 Cd 3.22
Mg 0.2208 0.0000 0.4289 (multiplicity 2)  1 Li 2.79, 4 Mg 3.02-3.08
Mg 0.4253 0.0000 0.8635 (multiplicity 2)  2 Cd 2.96-3.01, 6 Mg 3.02-3.10, 2 Li 3.10-3.13
Mg 0.5000 0.5000 0.0000 (multiplicity 1)  4 Cd 2.87, 2 Mg 3.02
Cd 0.0000 0.0000 0.0000 (multiplicity 1)  8 Mg 2.87-3.01, 2 Cd 3.02
Cd 0.3257 0.5000 0.6513 (multiplicity 2)  2 Cd 3.02, 4 Li 3.12-3.16, 6 Mg 3.22-3.26

## Properties
DOS(E_F): 0.37 states/eV per atom
E_tot: -1.4771 eV per atom
Energy of formation: 0.00 eV/atom



Record 4
First-principles (PBE) data for a geometry-optimized MgCdF2 structure, as listed in Alexandria via LeMat-Bulk.

Unit cell a=3.2959 b=3.2959 c=23.3172 alpha=90.00 beta=90.00 gamma=120.00
Closest atoms and distances in Å follow each position.
Space group R-3m (No. 166, hexagonal axes)
Symmetry-distinct sites (fractional):
Mg 0.0000 0.0000 0.0000 (multiplicity 3)  2 F 1.85
Cd 0.0000 0.0000 0.5000 (multiplicity 3)  6 F 2.79
F 0.0000 0.0000 0.0794 (multiplicity 6)  1 Mg 1.85

## Properties
DOS(E_F): 0.26 states/eV per atom
E above lowest polymorph: 832.8 meV/atom
E_tot: -3.2350 eV per atom
Raw formation energy: -1.672 eV/atom



Record 5
First-principles (PBE) data for a geometry-optimized TbNb2TcC4 structure, as listed in Alexandria via LeMat-Bulk.

Unit cell a=3.2608 b=11.3459 c=11.2033 alpha=90.00 beta=90.00 gamma=90.00
Closest atoms and distances in Å follow each position.
Space group Cmcm (No. 63)
Symmetry-distinct sites (fractional):
Tb 0.0000 0.1098 0.2500 (multiplicity 4)  6 C 2.49-2.65
Nb 0.0000 0.3703 0.0355 (multiplicity 8)  3 C 2.08-2.23
Tc 0.0000 0.1545 0.7500 (multiplicity 4)  4 C 1.95-1.97
C 0.0000 0.0000 0.0000 (multiplicity 4)  4 Nb 2.23
C 0.0000 0.2633 0.6149 (multiplicity 8)  1 Tc 1.95, 1 Nb 2.08
C 0.0000 0.4435 0.2500 (multiplicity 4)  2 Tc 1.97

## Properties
DOS(E_F): 0.31 states/eV per atom
E_tot: -9.2140 eV per atom
Energy of formation: -0.21 eV/atom



Record 6
First-principles (PBE) data for a geometry-optimized HfNi4As structure, as listed in Alexandria via LeMat-Bulk.

Unit cell a=6.8110 b=6.8110 c=6.8110 alpha=90.00 beta=90.00 gamma=90.00
Closest atoms and distances in Å follow each position.
Space group F-43m (No. 216)
Symmetry-distinct sites (fractional):
Hf 0.0000 0.0000 0.0000 (multiplicity 4)  12 Ni 2.82, 4 As 2.95
Ni 0.1256 0.1256 0.6256 (multiplicity 16)  6 Ni 2.40-2.42
As 0.2500 0.2500 0.2500 (multiplicity 4)  12 Ni 2.82, 4 Hf 2.95

## Properties
DOS(E_F): 0.77 states/eV per atom
E_tot: -6.5799 eV per atom
Energy of formation: -0.29 eV/atom



Record 7
First-principles (PBE) data for a geometry-optimized KSbTe2Mo structure, as listed in Alexandria via LeMat-Bulk.

Unit cell a=5.4997 b=5.4997 c=5.2832 alpha=90.00 beta=90.00 gamma=90.00
Closest atoms and distances in Å follow each position.
Space group P4/mmm (No. 123)
Symmetry-distinct sites (fractional):
K 0.0000 0.0000 0.0000 (multiplicity 1)  8 Te 3.81, 4 Sb 3.89
Sb 0.5000 0.5000 0.0000 (multiplicity 1)  2 Mo 2.64
Te 0.0000 0.5000 0.5000 (multiplicity 2)  2 Mo 2.75
Mo 0.5000 0.5000 0.5000 (multiplicity 1)  2 Sb 2.64, 4 Te 2.75

## Properties
DOS(E_F): 0.96 states/eV per atom
E above lowest polymorph: 0.0 meV/atom
E_tot: -4.4337 eV per atom
Raw formation energy: 0.033 eV/atom



Record 8
First-principles (PBE) data for a geometry-optimized Cd2MoRu structure, as listed in Alexandria via LeMat-Bulk.

Unit cell a=3.9031 b=3.9031 c=4.5615 alpha=90.00 beta=90.00 gamma=90.00
Closest atoms and distances in Å follow each position.
Space group P4/mmm (No. 123)
Symmetry-distinct sites (fractional):
Cd 0.0000 0.5000 0.0000 (multiplicity 2)  4 Cd 2.76, 4 Mo 3.00, 4 Ru 3.00
Mo 0.0000 0.0000 0.5000 (multiplicity 1)  4 Ru 2.76, 8 Cd 3.00
Ru 0.5000 0.5000 0.5000 (multiplicity 1)  4 Mo 2.76, 8 Cd 3.00

## Properties
DOS(E_F): 1.03 states/eV per atom
E above lowest polymorph: 397.4 meV/atom
E_tot: -4.9680 eV per atom
Energy of formation: 0.52 eV/atom



Record 9
First-principles (PBE) data for a geometry-optimized Cs2SrHfF6 structure, as listed in Alexandria via LeMat-Bulk.

Unit cell a=6.5813 b=6.5813 c=9.5146 alpha=90.00 beta=90.00 gamma=90.00
Closest atoms and distances in Å follow each position.
Space group I4/mmm (No. 139)
Symmetry-distinct sites (fractional):
Cs 0.0000 0.5000 0.2500 (multiplicity 4)  12 F 3.29-3.33
Sr 0.0000 0.0000 0.0000 (multiplicity 2)  6 F 2.46-2.48
Hf 0.0000 0.0000 0.5000 (multiplicity 2)  6 F 2.17-2.29
F 0.0000 0.0000 0.2590 (multiplicity 4)  1 Hf 2.29, 1 Sr 2.46
F 0.2334 0.2334 0.5000 (multiplicity 8)  1 Hf 2.17

## Properties
DOS(E_F): 0.68 states/eV per atom
E_tot: -5.3731 eV per atom
Raw formation energy: -2.916 eV/atom



Record 10
First-principles (PBE) data for a geometry-optimized La2BeCu structure, as listed in Alexandria via LeMat-Bulk.

Unit cell a=3.2284 b=3.2284 c=8.5481 alpha=90.00 beta=90.00 gamma=90.00
Closest atoms and distances in Å follow each position.
Space group P4mm (No. 99)
Symmetry-distinct sites (fractional):
La 0.0000 0.0000 0.0000 (multiplicity 1)  1 Be 3.08, 4 Cu 3.18, 4 La 3.23
La 0.5000 0.5000 0.3837 (multiplicity 1)  1 Cu 3.06, 4 Be 3.16, 4 La 3.23
Be 0.0000 0.0000 0.6395 (multiplicity 1)  4 Cu 2.44
Cu 0.5000 0.5000 0.7412 (multiplicity 1)  4 Be 2.44

## Properties
DOS(E_F): 1.07 states/eV per atom
E above lowest polymorph: 143.6 meV/atom
E_tot: -4.2543 eV per atom
Energy of formation: 0.17 eV/atom



Record 11
First-principles (PBE) data for a geometry-optimized TbDyLuZr structure, as listed in Alexandria via LeMat-Bulk.

Unit cell a=7.7276 b=7.7276 c=7.7276 alpha=90.00 beta=90.00 gamma=90.00
Closest atoms and distances in Å follow each position.
Space group F-43m (No. 216)
Symmetry-distinct sites (fractional):
Tb 0.0000 0.0000 0.0000 (multiplicity 4)  4 Dy 3.35, 4 Lu 3.35
Dy 0.2500 0.2500 0.2500 (multiplicity 4)  4 Zr 3.35, 4 Tb 3.35
Lu 0.2500 0.2500 0.7500 (multiplicity 4)  4 Zr 3.35, 4 Tb 3.35
Zr 0.0000 0.0000 0.5000 (multiplicity 4)  4 Lu 3.35, 4 Dy 3.35

## Properties
DOS(E_F): 1.83 states/eV per atom
E_tot: -5.3658 eV per atom
Energy of formation: 0.21 eV/atom



Record 12
First-principles (PBE) data for a geometry-optimized Pm5PrNd6 structure, as listed in Alexandria via LeMat-Bulk.

Unit cell a=6.3645 b=11.0267 c=12.1722 alpha=90.00 beta=100.13 gamma=90.00
Closest atoms and distances in Å follow each position.
Space group C2/m (No. 12)
Symmetry-distinct sites (fractional):
Pm 0.0000 0.0000 0.0000 (multiplicity 2)  6 Nd 3.66-3.67, 6 Pm 3.67-3.68
Pm 0.0000 0.1666 0.5000 (multiplicity 4)  3 Pm 3.67-3.68, 6 Nd 3.67-3.68, 3 Pr 3.67-3.68
Pm 0.0000 0.3332 0.0000 (multiplicity 4)  6 Nd 3.66-3.67, 6 Pm 3.67-3.68
Pr 0.0000 0.5000 0.5000 (multiplicity 2)  6 Pm 3.67-3.68, 6 Nd 3.68
Nd 0.2497 0.0000 0.7506 (multiplicity 4)  5 Pm 3.66-3.67, 6 Nd 3.67-3.68, 1 Pr 3.68
Nd 0.2496 0.1669 0.2494 (multiplicity 8)  5 Pm 3.66-3.68, 6 Nd 3.67-3.68, 1 Pr 3.68

## Properties
DOS(E_F): 1.57 states/eV per atom
E_tot: -4.7492 eV per atom
Energy of formation: 0.01 eV/atom